First-principles (PBE) data for a relaxed structure of BeCdRh, as listed in Alexandria via LeMat-Bulk.

Values from the calculation:
Space-group type = No. 156
E above lowest polymorph = 0.157 eV/atom
E_form = -0.12 eV/atom
ρ = 8.47 g/cm³
N(E_F) = 0.22 states/eV/atom
Size of the total moment = 0.000 μB/f.u.

abc: 3.9705 3.9705 3.2199
angles: 90.00 90.00 120.00
Last column: nearest neighbours and their distance in Å.
Positions (direct):
Be1 0.0000 0.0000 0.0000  3 Rh 2.29
Cd1 0.3333 0.6667 0.5017  6 Be 2.80, 6 Rh 2.80
Rh1 0.6667 0.3333 0.0020  3 Be 2.29